Material: KSiPt2
Method: DFT, PBE
State: optimized geometry

POSCAR file:
```
KSiPt2
1.0
3.9545 0.0000 0.0000
0.0000 3.9514 0.0000
-0.0074 0.0000 6.2044
K Si Pt
1 1 2
Direct
0.0000 0.0000 0.0000 K
0.5013 0.5000 0.3304 Si
0.0017 0.5000 0.5392 Pt
0.5017 0.0000 0.5394 Pt
```

## Properties
symmetry	Pm, No. 6
energy relative to the elements, uncorrected	-0.36	eV/atom
total DFT energy (no corrections)	-5.0091	eV/atom